Density functional theory data (GGA+U) for a geometry-optimized W3AuF structure.

Computed properties:
energy relative to the lowest polymorph listed for this composition: 574.9 meV/atom

Cell: 5.270 5.270 5.270 Å, 90.00 90.00 90.00°
Last column: magnetic moment on the atom in μB.
Fractional positions:
1 Au 0.000 0.000 0.000  0.01
2 W 0.000 0.500 0.000  2.90
3 W 0.500 0.000 0.000  2.92
4 F 0.500 0.500 0.500  0.11
5 W 0.000 0.000 0.500  2.85